No. 1
7
Lattice="4.732 0.000 0.000 0.000 4.732 0.000 0.000 0.000 11.085" Properties=species:S:1:pos:R:3 comment="KTl5Pb (PBE, relaxed)" vol_a3_per_cell=248 formation_energy_mev_per_atom=-31.1 mass_density_g_cm3=8.48 relative_energy_ev_per_fu=0.000 total_energy_ev_per_cell=-16.85 pbc="T T T"
K 0.000 0.000 5.542
Tl 0.000 2.366 2.649
Tl 0.000 2.366 8.436
Tl 2.366 0.000 2.649
Tl 2.366 0.000 8.436
Tl 0.000 0.000 0.000
Pb 2.366 2.366 0.000

***

No. 2
4
Lattice="0.571 1.139 5.850 -4.723 -0.572 3.636 -0.205 -4.488 3.957" Properties=species:S:1:pos:R:3 comment="K2TlPb (PBE, relaxed)" vol_a3_per_cell=152 formation_energy_mev_per_atom=-5.4 mass_density_g_cm3=5.36 relative_energy_ev_per_fu=0.469 total_energy_ev_per_cell=-8.29 pbc="T T T"
Pb -2.179 -1.961 6.722
Tl 0.000 0.000 0.000
K -1.089 -0.980 3.361
K -3.268 -2.941 10.083

***

No. 3
18
Lattice="7.274 0.000 0.000 0.000 7.274 0.000 0.000 0.000 12.003" Properties=species:S:1:pos:R:3 comment="KTl4Pb4 (PBE, relaxed)" vol_a3_per_cell=635 formation_energy_mev_per_atom=1.7 mass_density_g_cm3=8.81 relative_energy_ev_per_fu=0.331 total_energy_ev_per_cell=-50.76 pbc="T T T"
K 0.000 0.000 0.000
K 3.637 3.637 6.001
Tl 3.637 5.574 9.364
Tl 3.637 1.700 9.364
Tl 5.574 3.637 2.639
Tl 1.700 3.637 2.639
Tl 1.937 0.000 3.363
Tl 5.337 0.000 3.363
Tl 0.000 1.937 8.640
Tl 0.000 5.337 8.640
Pb 1.609 3.637 11.195
Pb 5.666 3.637 11.195
Pb 3.637 5.666 0.807
Pb 3.637 1.609 0.807
Pb 0.000 5.246 5.194
Pb 0.000 2.028 5.194
Pb 2.028 0.000 6.809
Pb 5.246 0.000 6.809

***

No. 4
10
Lattice="-1.434 0.629 -6.768 6.452 0.572 2.251 -1.016 -9.651 -0.682" Properties=species:S:1:pos:R:3 comment="K2Tl2Pb (PBE, relaxed)" vol_a3_per_cell=388 formation_energy_mev_per_atom=-119.8 mass_density_g_cm3=5.94 relative_energy_ev_per_fu=0.000 total_energy_ev_per_cell=-22.47 pbc="T T T"
K 1.006 -0.997 -2.987
K 3.859 -2.783 -0.193
K 2.996 -7.453 -2.211
K 0.142 -5.667 -5.006
Tl 3.158 -3.958 -3.733
Tl 0.685 -9.471 -0.156
Tl 0.844 -4.492 -1.466
Tl 3.317 1.021 -5.042
Pb -1.467 -1.880 -5.896
Pb -0.983 -7.141 -1.554